No. 1
Computed, not measured: a geometry-optimized SbPbSe2 structure at the GGA-PBE level of DFT.

Calculated values
Crystal system: trigonal
E_form (uncorrected), eV/atom: -0.09

Lattice parameters (Å, degrees): 8.647 8.647 8.647 27.06 27.06 27.06
Sites, in units of the cell vectors:
Sb  0.000  0.000  0.000
Pb  0.781  0.781  0.781
Se  0.270  0.270  0.270
Se  0.514  0.514  0.514

No. 2
Computed, not measured: a geometry-optimized Be4Co structure at the GGA-PBE level of DFT.

Calculated values
Relative energy among the computed polymorphs, meV per atom: 315.4
Crystal system: tetragonal
E_form, eV/atom: 0.1131

Lattice parameters (Å, degrees): 5.632 5.632 5.632 150.33 150.33 42.46
Sites, in units of the cell vectors:
Be  0.096  0.096  0.000
Be  0.250  0.750  0.500
Be  0.750  0.250  0.500
Be  0.904  0.904  0.000
Co  0.500  0.500  0.000

No. 3
Computed, not measured: a geometry-optimized Nd2SmTe4 structure at the GGA-PBE level of DFT.

Calculated values
Relative energy among the computed polymorphs, meV per atom: 0.0
Crystal system: monoclinic
E_form (uncorrected), eV/atom: -1.41

Lattice parameters (Å, degrees): 8.649 8.649 7.833 116.29 116.29 29.97
Sites, in units of the cell vectors:
Nd  0.241  0.241  0.229
Nd  0.759  0.759  0.771
Sm  0.500  0.500  0.500
Te  0.129  0.129  0.473
Te  0.380  0.380  0.055
Te  0.620  0.620  0.945
Te  0.871  0.871  0.527

No. 4
Computed, not measured: a geometry-optimized RbReTe3 structure at the GGA-PBE level of DFT.

Calculated values
Relative energy among the computed polymorphs, meV per atom: 2842.0
Crystal system: cubic
E_form (uncorrected), eV/atom: 2.61

Lattice parameters (Å, degrees): 5.866 5.866 5.866 90.00 90.00 90.00
Sites, in units of the cell vectors:
Rb  0.000  0.000  0.000
Re  0.500  0.500  0.500
Te  0.000  0.000  0.500
Te  0.000  0.500  0.000
Te  0.500  0.000  0.000

No. 5
Computed, not measured: a geometry-optimized AlSiBr2 structure at the GGA-PBE level of DFT.

Calculated values
Relative energy among the computed polymorphs, meV per atom: 698.3
Crystal system: cubic
E_form (uncorrected), eV/atom: 0.36

Lattice parameters (Å, degrees): 5.093 5.093 5.093 60.00 60.00 60.00
Sites, in units of the cell vectors:
Al  0.000  0.000  0.000
Si  0.500  0.500  0.500
Br  0.250  0.250  0.250
Br  0.750  0.750  0.750

No. 6
Computed, not measured: a geometry-optimized ZrCrFeN2 structure at the GGA-PBE level of DFT.

Calculated values
Crystal system: tetragonal
E_form (uncorrected), eV/atom: 1.15

Lattice parameters (Å, degrees): 3.701 3.701 4.978 90.00 90.00 90.00
Sites, in units of the cell vectors:
Zr  0.000  0.000  0.000
Cr  0.500  0.500  0.000
Fe  0.000  0.000  0.500
N  0.000  0.500  0.500
N  0.500  0.000  0.500

No. 7
Computed, not measured: a geometry-optimized FePbW3 structure at the GGA-PBE level of DFT.

Calculated values
Relative energy among the computed polymorphs, meV per atom: 0.0
Crystal system: cubic
E_form, eV/atom: 1.3976

Lattice parameters (Å, degrees): 4.550 4.550 4.550 90.00 90.00 90.00
Sites, in units of the cell vectors:
Fe  0.000  0.000  0.000
Pb  0.500  0.500  0.500
W  0.000  0.000  0.500
W  0.000  0.500  0.000
W  0.500  0.000  0.000

No. 8
Computed, not measured: a geometry-optimized NaGe2I8 structure at the GGA-PBE level of DFT.

Calculated values
Crystal system: monoclinic
E_form (uncorrected), eV/atom: -0.40

Lattice parameters (Å, degrees): 9.181 9.181 7.209 97.80 97.80 80.01
Sites, in units of the cell vectors:
Na  0.000  0.000  0.000
Ge  0.209  0.209  0.687
Ge  0.791  0.791  0.313
I  0.064  0.709  0.221
I  0.208  0.208  0.323
I  0.291  0.936  0.779
I  0.389  0.389  0.869
I  0.611  0.611  0.131
I  0.709  0.064  0.221
I  0.792  0.792  0.677
I  0.936  0.291  0.779

What did the sixth record say?
Computed, not measured: a geometry-optimized ZrCrFeN2 structure at the GGA-PBE level of DFT.

Calculated values
Crystal system: tetragonal
E_form (uncorrected), eV/atom: 1.15

Lattice parameters (Å, degrees): 3.701 3.701 4.978 90.00 90.00 90.00
Sites, in units of the cell vectors:
Zr  0.000  0.000  0.000
Cr  0.500  0.500  0.000
Fe  0.000  0.000  0.500
N  0.000  0.500  0.500
N  0.500  0.000  0.500

- What is the formula in the sixth record?
  ZrCrFeN2